This record from Alexandria describes a geometry-optimized Ba2SrLiHg structure. The functional is PBE.

Computed properties:
- offset from the most stable computed form (meV per atom) = 49.1
- DFT formation energy (eV per atom) = -0.05
- V (A^3/atom) = 55.44
- total moment (μB per atom) = 0.000
- space-group type = P4/mmm, No. 123
- calculated density (g/cm³) = 3.4

a = 6.5933 Å, b = 6.5933 Å, c = 6.3767 Å
α = 90.00°, β = 90.00°, γ = 90.00°
With the nearest neighbours (Å) after each atom.
Element x y z (fractional)
Sr: 0.0000 0.0000 0.5000  2 Hg 3.19
Li: 0.5000 0.5000 0.5000  8 Ba 4.59, 4 Sr 4.66
Hg: 0.0000 0.0000 0.0000  2 Sr 3.19, 4 Ba 3.30
Ba: 0.0000 0.5000 0.0000  2 Hg 3.30
Ba: 0.5000 0.0000 0.0000  2 Hg 3.30